1.
This record from Alexandria via LeMat-Bulk describes a geometry-optimized TbNd4Sm5 structure. The functional is PBE.

a b c (Å): 3.5880 8.9397 11.2786
angles (deg): 89.94 89.98 78.68
With the nearest neighbours (Å) after each atom.
Space group P-1 (No. 2)
Asymmetric unit:
Tb 0.0000 0.0000 0.0000 (multiplicity 1)  4 Nd 3.37-3.38, 4 Sm 3.57-3.59, 2 Tb 3.59
Nd 0.1522 0.6927 0.7499 (multiplicity 2)  4 Nd 3.59-3.68, 7 Sm 3.73-3.91, 1 Tb 3.90
Nd 0.4739 0.0594 0.7509 (multiplicity 2)  4 Sm 3.35-3.40, 2 Tb 3.37-3.38, 4 Nd 3.59-3.68
Sm 0.0000 0.0000 0.5000 (multiplicity 1)  4 Nd 3.39-3.40, 6 Sm 3.59-3.60
Sm 0.3257 0.3481 0.5558 (multiplicity 2)  2 Nd 3.35-3.73, 6 Sm 3.44-3.60
Sm 0.3267 0.3468 0.9463 (multiplicity 2)  1 Nd 3.35, 4 Sm 3.44-3.59, 2 Tb 3.57-3.59

- formation energy from the elements (meV/atom) = 173
- volume (Å³ per atom) = 35.47

***

2.
This record from Alexandria via LeMat-Bulk describes a geometry-optimized Tb2Nd8Sm structure. The functional is PBE.

a b c (Å): 16.9904 6.8283 6.7551
angles (deg): 90.00 100.07 90.00
With the nearest neighbours (Å) after each atom.
Space group C2/m (No. 12)
Asymmetric unit:
Tb 0.1992 0.0000 0.3074 (multiplicity 4)  7 Nd 3.40-3.70
Nd 0.0879 0.2619 0.9078 (multiplicity 8)  5 Nd 3.25-3.58, 1 Sm 3.40, 1 Tb 3.50
Nd 0.0931 0.5000 0.4133 (multiplicity 4)  8 Nd 3.40-3.80, 1 Tb 3.70
Nd 0.2446 0.0000 0.8181 (multiplicity 4)  5 Nd 3.35-3.51, 4 Tb 3.40-3.68
Sm 0.0000 0.0000 0.5000 (multiplicity 2)  4 Nd 3.40

- formation energy from the elements (meV/atom) = 161
- volume (Å³ per atom) = 35.07

***

Number 1: N(E_F) 1.4372 states/eV/atom. Number 2: N(E_F) 1.6599 states/eV/atom.